RbScCd3 | PBE-GGA | optimized geometry

```
RbScCd3
1.0
-1.937 1.873 5.407
-3.938 -4.578 0.175
4.151 -3.468 2.689
Sc Rb Cd
1 1 3
direct
0.500 0.500 0.500 Sc
0.000 0.000 0.000 Rb
0.000 0.500 0.000 Cd
0.000 0.000 0.500 Cd
0.500 0.000 0.000 Cd
```

Computed properties:
Electronic total energy   -0.990 eV/atom
Energy of formation from the pure elements   1019.3 meV per atom
Mass density   3.52 g/cm3
ΔE to the lowest computed polymorph   762 meV/atom


Rb3AsW | PBE-GGA | optimized geometry

```
Rb3AsW
1.0
6.620 0.000 0.000
0.000 6.620 0.000
0.000 0.000 6.620
As Rb W
1 3 1
direct
0.000 0.000 0.000 As
0.000 0.500 0.000 Rb
0.000 0.000 0.500 Rb
0.500 0.000 0.000 Rb
0.500 0.500 0.500 W
```

Computed properties:
Electronic total energy   -2.835 eV/atom
Energy of formation from the pure elements   1265.8 meV per atom
Mass density   2.95 g/cm3
ΔE to the lowest computed polymorph   0 meV/atom


La2CdCuNi | PBE-GGA | optimized geometry

```
La2CdCuNi
1.0
5.348 0.000 0.000
0.000 5.348 0.000
0.000 0.000 4.619
Ni Cd Cu La
1 1 1 2
direct
0.000 0.000 0.000 Ni
0.500 0.500 0.500 Cd
0.000 0.000 0.500 Cu
0.000 0.500 0.000 La
0.500 0.000 0.000 La
```

Computed properties:
Electronic total energy   -4.248 eV/atom
Energy of formation from the pure elements   -118.1 meV per atom
Mass density   6.44 g/cm3


Pm3Mn2C4 | PBE-GGA | optimized geometry

```
Pm3Mn2C4
1.0
-2.193 -0.113 -2.868
1.547 -5.670 1.315
-5.158 -0.781 3.974
Pm Mn C
3 2 4
direct
0.369 0.739 0.476 Pm
0.000 0.000 0.000 Pm
0.631 0.261 0.524 Pm
0.243 0.487 0.120 Mn
0.757 0.513 0.880 Mn
0.655 0.311 0.133 C
0.222 0.443 0.780 C
0.778 0.557 0.220 C
0.345 0.689 0.867 C
```

Computed properties:
Electronic total energy   -7.741 eV/atom
Energy of formation from the pure elements   -20.6 meV per atom
Mass density   7.24 g/cm3


TcOsBr2 | PBE-GGA | optimized geometry

```
TcOsBr2
1.0
3.060 0.000 0.000
0.000 5.308 -0.013
0.000 3.536 4.127
Os Tc Br
1 1 2
direct
0.500 0.500 0.500 Os
0.000 0.000 0.500 Tc
0.000 0.000 0.000 Br
0.500 0.500 0.000 Br
```

Computed properties:
Electronic total energy   -5.066 eV/atom
Mass density   11.08 g/cm3
Raw formation energy   1.1697 eV per atom
ΔE to the lowest computed polymorph   890 meV/atom


VRe2RhS | PBE-GGA | optimized geometry

```
VRe2RhS
1.0
4.532 0.000 0.000
0.000 4.458 0.000
0.000 0.000 4.532
Re S Rh V
2 1 1 1
direct
0.000 0.000 0.500 Re
0.500 0.000 0.000 Re
0.500 0.500 0.500 S
0.000 0.500 0.000 Rh
0.000 0.000 0.000 V
```

Computed properties:
Electronic total energy   -7.273 eV/atom
Mass density   10.13 g/cm3
Raw formation energy   1.8256 eV per atom


AlPPdCl2 | PBE-GGA | optimized geometry

```
AlPPdCl2
1.0
5.137 0.000 0.000
0.000 5.137 0.000
0.000 0.000 4.534
P Al Pd Cl
1 1 1 2
direct
0.000 0.000 0.500 P
0.500 0.500 0.500 Al
0.000 0.000 0.000 Pd
0.000 0.500 0.000 Cl
0.500 0.000 0.000 Cl
```

Computed properties:
Electronic total energy   -3.427 eV/atom
Mass density   3.27 g/cm3
Raw formation energy   0.1803 eV per atom
ΔE to the lowest computed polymorph   116 meV/atom


TlH2Au | PBE-GGA | optimized geometry

```
TlH2Au
1.0
0.000 3.030 3.030
3.030 0.000 3.030
3.030 3.030 0.000
H Tl Au
2 1 1
direct
0.250 0.250 0.250 H
0.750 0.750 0.750 H
0.500 0.500 0.500 Tl
0.000 0.000 0.000 Au
```

Computed properties:
Electronic total energy   -2.263 eV/atom
Mass density   12.04 g/cm3
ΔE to the lowest computed polymorph   799 meV/atom


CsErS2O8 | PBE-GGA | optimized geometry

```
CsErS2O8
1.0
5.392 0.000 0.000
-2.696 4.670 0.000
0.000 0.000 8.867
Cs Er S O
1 1 2 8
direct
0.000 0.000 0.000 Cs
0.000 0.000 0.500 Er
0.667 0.333 0.290 S
0.333 0.667 0.710 S
0.333 0.667 0.875 O
0.374 0.241 0.349 O
0.759 0.133 0.349 O
0.667 0.333 0.125 O
0.241 0.867 0.651 O
0.626 0.759 0.651 O
0.133 0.374 0.651 O
0.867 0.626 0.349 O
```

Computed properties:
Electronic total energy   -6.565 eV/atom
Mass density   3.66 g/cm3
Raw formation energy   -2.1202 eV per atom


Ce4CdPt | PBE-GGA | optimized geometry

```
Ce4CdPt
1.0
9.818 0.000 0.000
4.909 8.503 0.000
4.909 2.834 8.017
Ce Cd Pt
16 4 4
direct
0.352 0.352 0.352 Ce
0.352 0.352 0.943 Ce
0.352 0.943 0.352 Ce
0.943 0.352 0.352 Ce
0.802 0.198 0.198 Ce
0.198 0.802 0.802 Ce
0.198 0.802 0.198 Ce
0.802 0.198 0.802 Ce
0.198 0.198 0.802 Ce
0.802 0.802 0.198 Ce
0.934 0.566 0.566 Ce
0.566 0.934 0.934 Ce
0.566 0.934 0.566 Ce
0.934 0.566 0.934 Ce
0.566 0.566 0.934 Ce
0.934 0.934 0.566 Ce
0.579 0.579 0.579 Cd
0.579 0.579 0.262 Cd
0.579 0.262 0.579 Cd
0.262 0.579 0.579 Cd
0.142 0.142 0.142 Pt
0.142 0.142 0.573 Pt
0.142 0.573 0.142 Pt
0.573 0.142 0.142 Pt
```

Computed properties:
Electronic total energy   -5.488 eV/atom
Energy of formation from the pure elements   -372.9 meV per atom
Mass density   8.61 g/cm3
ΔE to the lowest computed polymorph   0 meV/atom


Sm3In2Hg4 | PBE-GGA | optimized geometry

```
Sm3In2Hg4
1.0
-1.044 0.542 4.814
-2.435 -5.068 -2.508
9.125 -0.667 2.054
Sm In Hg
3 2 4
direct
0.665 0.330 0.672 Sm
0.000 0.000 0.000 Sm
0.335 0.670 0.328 Sm
0.610 0.220 0.275 In
0.390 0.780 0.725 In
0.694 0.389 0.026 Hg
0.306 0.611 0.974 Hg
0.914 0.828 0.579 Hg
0.086 0.172 0.421 Hg
```

Computed properties:
Electronic total energy   -2.773 eV/atom
Energy of formation from the pure elements   -457.6 meV per atom
Mass density   10.55 g/cm3


Mg2TcBr | PBE-GGA | optimized geometry

```
Mg2TcBr
1.0
4.785 0.000 0.000
0.000 3.202 -0.152
0.000 0.253 4.984
Br Mg Tc
1 2 1
direct
0.500 0.624 0.770 Br
0.000 0.124 0.956 Mg
0.500 0.127 0.323 Mg
0.000 0.625 0.450 Tc
```

Computed properties:
Electronic total energy   -3.583 eV/atom
Mass density   4.91 g/cm3
Raw formation energy   0.2240 eV per atom
ΔE to the lowest computed polymorph   253 meV/atom


Number 1: DOS(E_F) 0.94 states/eV per atom, total magnetization 1.62 μB per formula unit. Number 2: DOS(E_F) 0.73 states/eV per atom, total magnetization 6.00 μB per formula unit. Number 3: DOS(E_F) 0.90 states/eV per atom, total magnetization 0.00 μB per formula unit. Number 4: DOS(E_F) 0.65 states/eV per atom, total magnetization 0.00 μB per formula unit. Number 5: DOS(E_F) 0.98 states/eV per atom, total magnetization 0.00 μB per formula unit. Number 6: DOS(E_F) 1.35 states/eV per atom, total magnetization 0.00 μB per formula unit. Number 7: DOS(E_F) 0.66 states/eV per atom, total magnetization 0.00 μB per formula unit. Number 8: DOS(E_F) 0.59 states/eV per atom, total magnetization 0.00 μB per formula unit. Number 9: DOS(E_F) 0.00 states/eV per atom, total magnetization 0.00 μB per formula unit. Number 10: DOS(E_F) 3.66 states/eV per atom, total magnetization 4.63 μB per formula unit. Number 11: DOS(E_F) 0.53 states/eV per atom, total magnetization 0.00 μB per formula unit. Number 12: DOS(E_F) 1.00 states/eV per atom, total magnetization 1.67 μB per formula unit.